# Cs6Au2Br3O

An optimized crystal structure of Cs6Au2Br3O (PBE, the Alexandria database). Values from VASP.

The structure in Quantum ESPRESSO input format:
```
&SYSTEM
  ibrav = 0, nat = 12, ntyp = 4
/
ATOMIC_SPECIES
Cs 132.91 Cs.upf
Au 196.97 Au.upf
Br 79.90 Br.upf
O 16.00 O.upf
CELL_PARAMETERS angstrom
8.884 -0.068 -0.027
-4.499 7.661 -0.027
-1.488 -2.576 8.437
ATOMIC_POSITIONS crystal
Cs 0.922 0.607 0.759
Cs 0.774 0.774 0.238
Cs 0.078 0.393 0.241
Cs 0.607 0.922 0.759
Cs 0.226 0.226 0.762
Cs 0.393 0.078 0.241
Au 0.336 0.664 0.000
Au 0.664 0.336 0.000
Br 0.172 0.828 0.500
Br 0.828 0.172 0.500
Br 0.500 0.500 0.500
O 0.000 0.000 0.000
```

volume: 570 Å³/f.u.
raw formation energy: -12.9 eV per formula unit
electronic total energy: -2.88 eV per atom

---

# Cs5AuBr2O

An optimized crystal structure of Cs5AuBr2O (PBE, the Alexandria database). Values from VASP.

The structure in Quantum ESPRESSO input format:
```
&SYSTEM
  ibrav = 0, nat = 18, ntyp = 4
/
ATOMIC_SPECIES
Cs 132.91 Cs.upf
Au 196.97 Au.upf
Br 79.90 Br.upf
O 16.00 O.upf
CELL_PARAMETERS angstrom
4.725 0.000 0.000
-2.362 11.792 0.000
0.000 0.000 14.216
ATOMIC_POSITIONS crystal
Cs 0.356 0.712 0.008
Cs 0.729 0.457 0.874
Cs 0.500 0.000 0.758
Cs 0.271 0.542 0.643
Cs 0.885 0.769 0.509
Cs 0.644 0.288 0.508
Cs 0.271 0.543 0.374
Cs 0.500 0.000 0.258
Cs 0.729 0.458 0.143
Cs 0.115 0.231 0.009
Au 0.508 0.017 0.008
Au 0.492 0.983 0.508
Br 0.873 0.747 0.781
Br 0.126 0.252 0.736
Br 0.127 0.253 0.281
Br 0.874 0.748 0.236
O 0.764 0.529 0.508
O 0.236 0.471 0.008
```

volume: 396 Å³/f.u.
raw formation energy: -10.4 eV per formula unit
electronic total energy: -2.92 eV per atom

---

# Cs7AuBr2O2

An optimized crystal structure of Cs7AuBr2O2 (PBE, the Alexandria database). Values from VASP.

The structure in Quantum ESPRESSO input format:
```
&SYSTEM
  ibrav = 0, nat = 12, ntyp = 4
/
ATOMIC_SPECIES
Cs 132.91 Cs.upf
Au 196.97 Au.upf
Br 79.90 Br.upf
O 16.00 O.upf
CELL_PARAMETERS angstrom
5.129 0.000 0.000
0.000 7.674 0.000
-2.564 -3.837 13.800
ATOMIC_POSITIONS crystal
Cs 0.416 0.805 0.833
Cs 0.706 0.800 0.412
Cs 0.114 0.481 0.228
Cs 0.584 0.972 0.167
Cs 0.294 0.388 0.588
Cs 0.886 0.253 0.772
Cs 0.500 0.425 0.000
Au 0.000 0.080 0.000
Br 0.298 0.893 0.596
Br 0.702 0.297 0.404
O 0.399 0.452 0.797
O 0.601 0.655 0.203
```

volume: 543 Å³/f.u.
raw formation energy: -13.4 eV per formula unit
electronic total energy: -2.99 eV per atom

---

# Cs6AuBr2O

An optimized crystal structure of Cs6AuBr2O (PBE, the Alexandria database). Values from VASP.

The structure in Quantum ESPRESSO input format:
```
&SYSTEM
  ibrav = 0, nat = 20, ntyp = 4
/
ATOMIC_SPECIES
Cs 132.91 Cs.upf
Au 196.97 Au.upf
Br 79.90 Br.upf
O 16.00 O.upf
CELL_PARAMETERS angstrom
8.565 0.000 0.239
0.000 9.301 0.000
0.421 0.000 12.264
ATOMIC_POSITIONS crystal
Cs 0.277 0.670 0.054
Cs 0.777 0.830 0.554
Cs 0.723 0.330 0.946
Cs 0.223 0.170 0.446
Cs 0.341 0.727 0.427
Cs 0.841 0.773 0.927
Cs 0.659 0.273 0.573
Cs 0.159 0.227 0.073
Cs 0.864 0.549 0.221
Cs 0.364 0.951 0.721
Cs 0.136 0.451 0.779
Cs 0.636 0.049 0.279
Au 0.500 0.000 0.000
Au 0.000 0.500 0.500
Br 0.044 0.908 0.263
Br 0.544 0.592 0.763
Br 0.956 0.092 0.737
Br 0.456 0.408 0.237
O 0.500 0.000 0.500
O 0.000 0.500 0.000
```

volume: 488 Å³/f.u.
raw formation energy: -10.4 eV per formula unit
electronic total energy: -2.71 eV per atom

---

# Cs6Au2BrO

An optimized crystal structure of Cs6Au2BrO (PBE, the Alexandria database). Values from VASP.

The structure in Quantum ESPRESSO input format:
```
&SYSTEM
  ibrav = 0, nat = 20, ntyp = 4
/
ATOMIC_SPECIES
Cs 132.91 Cs.upf
Au 196.97 Au.upf
Br 79.90 Br.upf
O 16.00 O.upf
CELL_PARAMETERS angstrom
-5.983 -2.564 -5.581
6.209 0.180 -6.738
2.746 -11.828 2.215
ATOMIC_POSITIONS crystal
Cs 0.277 0.668 0.052
Cs 0.777 0.832 0.552
Cs 0.723 0.332 0.948
Cs 0.223 0.168 0.448
Cs 0.336 0.723 0.436
Cs 0.836 0.777 0.936
Cs 0.664 0.277 0.564
Cs 0.164 0.223 0.064
Cs 0.885 0.543 0.221
Cs 0.385 0.957 0.721
Cs 0.115 0.457 0.779
Cs 0.615 0.043 0.279
Au 0.029 0.921 0.252
Au 0.529 0.579 0.752
Au 0.971 0.079 0.748
Au 0.471 0.421 0.248
Br 0.500 0.000 0.000
Br 0.000 0.500 0.500
O 0.500 0.000 0.500
O 0.000 0.500 0.000
```

volume: 485 Å³/f.u.
raw formation energy: -7.7 eV per formula unit
electronic total energy: -2.60 eV per atom

---

# Cs8Au3BrO2

An optimized crystal structure of Cs8Au3BrO2 (PBE, the Alexandria database). Values from VASP.

The structure in Quantum ESPRESSO input format:
```
&SYSTEM
  ibrav = 0, nat = 14, ntyp = 4
/
ATOMIC_SPECIES
Cs 132.91 Cs.upf
Au 196.97 Au.upf
Br 79.90 Br.upf
O 16.00 O.upf
CELL_PARAMETERS angstrom
-7.051 5.557 0.510
1.825 -5.585 6.808
6.223 7.486 4.473
ATOMIC_POSITIONS crystal
Cs 0.333 0.667 0.936
Cs 0.667 0.333 0.064
Cs 0.179 0.821 0.293
Cs 0.821 0.179 0.707
Cs 0.179 0.357 0.293
Cs 0.821 0.643 0.707
Cs 0.643 0.821 0.293
Cs 0.357 0.179 0.707
Au 0.333 0.667 0.594
Au 0.667 0.333 0.406
Au 0.000 0.000 0.000
Br 0.000 0.000 0.500
O 0.333 0.667 0.174
O 0.667 0.333 0.826
```

volume: 750 Å³/f.u.
raw formation energy: -10.6 eV per formula unit
electronic total energy: -2.77 eV per atom

---

# Cs2PAuBr6

An optimized crystal structure of Cs2PAuBr6 (PBE, the Alexandria database). Values from VASP.

The structure in Quantum ESPRESSO input format:
```
&SYSTEM
  ibrav = 0, nat = 10, ntyp = 4
/
ATOMIC_SPECIES
Cs 132.91 Cs.upf
P 30.97 P.upf
Au 196.97 Au.upf
Br 79.90 Br.upf
CELL_PARAMETERS angstrom
-6.362 3.746 1.824
-2.933 -6.391 2.897
-2.455 -0.048 7.392
ATOMIC_POSITIONS crystal
Cs 0.750 0.250 0.500
Cs 0.250 0.750 0.500
P 0.500 0.500 0.000
Au 0.000 0.000 0.000
Br 0.270 0.270 0.460
Br 0.730 0.730 0.540
Br 0.255 0.255 0.000
Br 0.745 0.745 0.000
Br 0.745 0.255 0.000
Br 0.255 0.745 0.000
```

volume: 326 Å³/f.u.
raw formation energy: -8.2 eV per formula unit
electronic total energy: -2.87 eV per atom

---

# Cs2PAuBr

An optimized crystal structure of Cs2PAuBr (PBE, the Alexandria database). Values from VASP.

The structure in Quantum ESPRESSO input format:
```
&SYSTEM
  ibrav = 0, nat = 5, ntyp = 4
/
ATOMIC_SPECIES
Cs 132.91 Cs.upf
P 30.97 P.upf
Au 196.97 Au.upf
Br 79.90 Br.upf
CELL_PARAMETERS angstrom
6.980 0.000 0.000
0.000 6.980 0.000
0.000 0.000 4.497
ATOMIC_POSITIONS crystal
Cs 0.000 0.500 0.000
Cs 0.500 0.000 0.000
P 0.000 0.000 0.000
Au 0.000 0.000 0.500
Br 0.500 0.500 0.500
```

volume: 219 Å³/f.u.
raw formation energy: -3.7 eV per formula unit
electronic total energy: -3.16 eV per atom
offset from the most stable computed form: 0.00 kJ per mole of atoms

---

# Cs2PAuBr

An optimized crystal structure of Cs2PAuBr (PBE, the Alexandria database). Values from VASP.

The structure in Quantum ESPRESSO input format:
```
&SYSTEM
  ibrav = 0, nat = 5, ntyp = 4
/
ATOMIC_SPECIES
Cs 132.91 Cs.upf
P 30.97 P.upf
Au 196.97 Au.upf
Br 79.90 Br.upf
CELL_PARAMETERS angstrom
6.851 0.000 0.000
0.000 5.293 0.000
0.000 0.000 6.851
ATOMIC_POSITIONS crystal
Cs 0.000 0.000 0.500
Cs 0.500 0.000 0.000
P 0.500 0.500 0.500
Au 0.000 0.000 0.000
Br 0.000 0.500 0.000
```

volume: 248 Å³/f.u.
raw formation energy: -0.3 eV per formula unit
electronic total energy: -2.47 eV per atom
offset from the most stable computed form: 66.49 kJ per mole of atoms

---

# CsPbAuBr2

An optimized crystal structure of CsPbAuBr2 (PBE, the Alexandria database). Values from VASP.

The structure in Quantum ESPRESSO input format:
```
&SYSTEM
  ibrav = 0, nat = 5, ntyp = 4
/
ATOMIC_SPECIES
Pb 207.20 Pb.upf
Cs 132.91 Cs.upf
Au 196.97 Au.upf
Br 79.90 Br.upf
CELL_PARAMETERS angstrom
6.034 0.000 0.000
0.000 6.034 0.000
0.000 0.000 5.545
ATOMIC_POSITIONS crystal
Pb 0.000 0.000 0.000
Cs 0.500 0.500 0.500
Au 0.000 0.000 0.500
Br 0.000 0.500 0.000
Br 0.500 0.000 0.000
```

volume: 202 Å³/f.u.
raw formation energy: -4.2 eV per formula unit
electronic total energy: -3.07 eV per atom
offset from the most stable computed form: 0.00 kJ per mole of atoms

---

# Cs3PbAu2Br9

An optimized crystal structure of Cs3PbAu2Br9 (PBE, the Alexandria database). Values from VASP.

The structure in Quantum ESPRESSO input format:
```
&SYSTEM
  ibrav = 0, nat = 15, ntyp = 4
/
ATOMIC_SPECIES
Cs 132.91 Cs.upf
Pb 207.20 Pb.upf
Au 196.97 Au.upf
Br 79.90 Br.upf
CELL_PARAMETERS angstrom
7.948 0.000 0.000
-3.974 6.883 0.000
0.000 0.000 9.780
ATOMIC_POSITIONS crystal
Cs 0.333 0.667 0.669
Cs 0.000 0.000 0.000
Cs 0.667 0.333 0.331
Pb 0.000 0.000 0.500
Au 0.333 0.667 0.152
Au 0.667 0.333 0.848
Br 0.827 0.173 0.678
Br 0.827 0.654 0.678
Br 0.346 0.173 0.678
Br 0.654 0.827 0.322
Br 0.173 0.346 0.322
Br 0.173 0.827 0.322
Br 0.500 0.000 0.000
Br 0.000 0.500 0.000
Br 0.500 0.500 0.000
```

volume: 535 Å³/f.u.
raw formation energy: -14.4 eV per formula unit
electronic total energy: -2.82 eV per atom